[1]
The following is a PBE calculation of a relaxed LiCd3Re crystal, from Alexandria via LeMat-Bulk.

Properties
energy of formation from the pure elements	0.832	eV/atom
offset from the most stable computed form	0.000	eV/atom

abc: 5.2884 5.2884 5.2884
angles: 90.00 90.00 90.00
With the nearest neighbours (Å) after each atom.
Fractional positions:
Li (0.0000, 0.0000, 0.0000)  12 Cd 3.74
Cd (0.0000, 0.5000, 0.5000)  2 Re 2.64
Cd (0.5000, 0.0000, 0.5000)  2 Re 2.64
Cd (0.5000, 0.5000, 0.0000)  2 Re 2.64
Re (0.5000, 0.5000, 0.5000)  6 Cd 2.64



[2]
The following is a PBE calculation of a relaxed Ba2In3SbPt4 crystal, from Alexandria via LeMat-Bulk.

Properties
E_form (uncorrected)	-0.711	eV/atom

abc: 4.8712 4.8712 10.5590
angles: 90.00 90.00 90.00
With the nearest neighbours (Å) after each atom.
Fractional positions:
Ba (0.0000, 0.5000, 0.2395)  8 Pt 3.51-3.75, 7 In 3.67-3.80, 2 Sb 3.67
Ba (0.5000, 0.0000, 0.7605)  8 Pt 3.51-3.75, 7 In 3.67-3.80, 2 Sb 3.67
In (0.0000, 0.5000, 0.8796)  5 Pt 2.74-2.75
In (0.5000, 0.0000, 0.1204)  5 Pt 2.74-2.75
In (0.5000, 0.5000, 0.5000)  4 Pt 2.75
Sb (0.0000, 0.0000, 0.5000)  4 Pt 2.75
Pt (0.0000, 0.0000, 0.0000)  4 In 2.75
Pt (0.0000, 0.5000, 0.6204)  3 In 2.74-2.75, 2 Sb 2.75
Pt (0.5000, 0.0000, 0.3796)  3 In 2.74-2.75, 2 Sb 2.75
Pt (0.5000, 0.5000, 0.0000)  4 In 2.75



[3]
The following is a PBE calculation of a relaxed Zr2NpU3P6 crystal, from Alexandria via LeMat-Bulk.

Properties
energy of formation from the pure elements	-1.127	eV/atom

abc: 6.6809 6.6809 6.7337
angles: 99.53 99.53 120.08
With the nearest neighbours (Å) after each atom.
Fractional positions:
Zr (0.1677, 0.8323, 0.0000)  6 P 2.69-2.70
Zr (0.8323, 0.1677, 0.0000)  6 P 2.69-2.70
Np (0.5000, 0.5000, 0.0000)  6 P 2.73-2.74
U (0.0000, 0.0000, 0.5000)  6 P 2.74-2.77
U (0.3351, 0.6649, 0.5000)  6 P 2.74-2.77
U (0.6649, 0.3351, 0.5000)  6 P 2.74-2.77
P (0.0800, 0.4186, 0.7564)  2 Zr 2.69-2.70, 1 Np 2.74, 3 U 2.74-2.77
P (0.2410, 0.2410, 0.2404)  2 Zr 2.69, 1 Np 2.73, 3 U 2.74-2.77
P (0.4186, 0.0800, 0.7564)  2 Zr 2.69-2.70, 1 Np 2.74, 3 U 2.74-2.77
P (0.5814, 0.9200, 0.2436)  2 Zr 2.69-2.70, 1 Np 2.74, 3 U 2.74-2.77
P (0.7590, 0.7590, 0.7596)  2 Zr 2.69, 1 Np 2.73, 3 U 2.74-2.77
P (0.9200, 0.5814, 0.2436)  2 Zr 2.69-2.70, 1 Np 2.74, 3 U 2.74-2.77



[4]
The following is a PBE calculation of a relaxed TlV2Ga2 crystal, from Alexandria via LeMat-Bulk.

Properties
energy of formation from the pure elements	0.255	eV/atom
offset from the most stable computed form	0.110	eV/atom

abc: 7.3723 7.3723 3.1213
angles: 90.00 90.00 90.00
With the nearest neighbours (Å) after each atom.
Fractional positions:
Tl (0.0000, 0.0000, 0.0000)  4 Ga 2.93, 2 Tl 3.12, 8 V 3.14
Tl (0.5000, 0.5000, 0.0000)  4 Ga 2.93, 2 Tl 3.12, 8 V 3.14
V (0.1739, 0.3261, 0.5000)  6 Ga 2.64-2.71
V (0.3261, 0.8261, 0.5000)  6 Ga 2.64-2.71
V (0.6739, 0.1739, 0.5000)  6 Ga 2.64-2.71
V (0.8261, 0.6739, 0.5000)  6 Ga 2.64-2.71
Ga (0.1224, 0.6224, 0.0000)  1 Ga 2.55, 6 V 2.64-2.71
Ga (0.3776, 0.1224, 0.0000)  1 Ga 2.55, 6 V 2.64-2.71
Ga (0.6224, 0.8776, 0.0000)  1 Ga 2.55, 6 V 2.64-2.71
Ga (0.8776, 0.3776, 0.0000)  1 Ga 2.55, 6 V 2.64-2.71



[5]
The following is a PBE calculation of a relaxed LiNiI2N crystal, from Alexandria via LeMat-Bulk.

Properties
offset from the most stable computed form	0.985	eV/atom
E_form (uncorrected)	1.122	eV/atom

abc: 5.2203 5.2203 3.6261
angles: 90.00 90.00 90.00
With the nearest neighbours (Å) after each atom.
Fractional positions:
Li (0.0000, 0.0000, 0.0000)  2 N 1.81
Ni (0.5000, 0.5000, 0.5000)  8 I 3.18
I (0.0000, 0.5000, 0.0000)  2 Li 2.61
I (0.5000, 0.0000, 0.0000)  2 Li 2.61
N (0.0000, 0.0000, 0.5000)  2 Li 1.81



[6]
The following is a PBE calculation of a relaxed YMo2 crystal, from Alexandria via LeMat-Bulk.

Properties
energy of formation from the pure elements	0.182	eV/atom

abc: 4.1626 11.0793 5.5897
angles: 90.00 90.00 90.00
With the nearest neighbours (Å) after each atom.
Fractional positions:
Y (0.0000, 0.2164, 0.2500)  5 Mo 3.05-3.30
Y (0.0000, 0.7836, 0.7500)  5 Mo 3.05-3.30
Y (0.5000, 0.2836, 0.7500)  5 Mo 3.05-3.30
Y (0.5000, 0.7164, 0.2500)  5 Mo 3.05-3.30
Mo (0.0000, 0.0587, 0.7500)  4 Mo 2.59
Mo (0.0000, 0.5000, 0.0000)  6 Mo 2.59-2.79
Mo (0.0000, 0.5000, 0.5000)  6 Mo 2.59-2.79
Mo (0.0000, 0.9413, 0.2500)  4 Mo 2.59
Mo (0.5000, 0.0000, 0.0000)  6 Mo 2.59-2.79
Mo (0.5000, 0.0000, 0.5000)  6 Mo 2.59-2.79
Mo (0.5000, 0.4413, 0.2500)  4 Mo 2.59
Mo (0.5000, 0.5587, 0.7500)  4 Mo 2.59



[7]
The following is a PBE calculation of a relaxed Er2AlCu3Ni12 crystal, from Alexandria via LeMat-Bulk.

Properties
energy of formation from the pure elements	-0.082	eV/atom

abc: 6.2396 6.2396 6.2396
angles: 82.95 82.95 82.95
With the nearest neighbours (Å) after each atom.
Fractional positions:
Er (0.2112, 0.2112, 0.2112)  9 Ni 2.70-2.77, 3 Cu 2.80
Er (0.7888, 0.7888, 0.7888)  9 Ni 2.70-2.77, 3 Cu 2.80
Al (0.5000, 0.5000, 0.5000)  6 Ni 2.32
Cu (0.0000, 0.5000, 0.5000)  10 Ni 2.49-2.79
Cu (0.5000, 0.0000, 0.5000)  10 Ni 2.49-2.79
Cu (0.5000, 0.5000, 0.0000)  10 Ni 2.49-2.79
Ni (0.0851, 0.0851, 0.6413)  4 Ni 2.32-2.56
Ni (0.0851, 0.6413, 0.0851)  4 Ni 2.32-2.56
Ni (0.2230, 0.6982, 0.6982)  1 Al 2.32, 5 Ni 2.32-2.46, 1 Cu 2.49
Ni (0.3018, 0.3018, 0.7770)  1 Al 2.32, 5 Ni 2.32-2.46, 1 Cu 2.49
Ni (0.3018, 0.7770, 0.3018)  1 Al 2.32, 5 Ni 2.32-2.46, 1 Cu 2.49
Ni (0.3587, 0.9149, 0.9149)  4 Ni 2.32-2.56
Ni (0.6413, 0.0851, 0.0851)  4 Ni 2.32-2.56
Ni (0.6982, 0.2230, 0.6982)  1 Al 2.32, 5 Ni 2.32-2.46, 1 Cu 2.49
Ni (0.6982, 0.6982, 0.2230)  1 Al 2.32, 5 Ni 2.32-2.46, 1 Cu 2.49
Ni (0.7770, 0.3018, 0.3018)  1 Al 2.32, 5 Ni 2.32-2.46, 1 Cu 2.49
Ni (0.9149, 0.3587, 0.9149)  4 Ni 2.32-2.56
Ni (0.9149, 0.9149, 0.3587)  4 Ni 2.32-2.56



[8]
The following is a PBE calculation of a relaxed Tb3Dy6Y crystal, from Alexandria via LeMat-Bulk.

Properties
energy of formation from the pure elements	0.122	eV/atom
offset from the most stable computed form	0.000	eV/atom

abc: 11.5581 11.5581 6.3703
angles: 90.00 90.00 130.98
With the nearest neighbours (Å) after each atom.
Fractional positions:
Tb (0.0793, 0.9207, 0.5000)  5 Dy 3.14-3.51, 2 Tb 3.40
Tb (0.2033, 0.4585, 0.8951)  2 Tb 3.24-3.40, 5 Dy 3.26-3.57, 1 Y 3.50
Tb (0.4585, 0.2033, 0.3951)  2 Tb 3.24-3.40, 5 Dy 3.26-3.57, 1 Y 3.50
Tb (0.5415, 0.7967, 0.8951)  2 Tb 3.24-3.40, 5 Dy 3.26-3.57, 1 Y 3.50
Tb (0.7967, 0.5415, 0.3951)  2 Tb 3.24-3.40, 5 Dy 3.26-3.57, 1 Y 3.50
Tb (0.9207, 0.0793, 0.0000)  5 Dy 3.14-3.51, 2 Tb 3.40
Dy (0.0435, 0.6055, 0.7353)  2 Tb 3.26-3.38, 3 Dy 3.37-3.58, 2 Y 3.55-3.64
Dy (0.1209, 0.2426, 0.4752)  3 Tb 3.34-3.51, 4 Dy 3.49-3.66, 1 Y 3.72
Dy (0.1977, 0.8023, 0.1988)  1 Tb 3.14, 1 Y 3.30, 2 Dy 3.43
Dy (0.2426, 0.1209, 0.9752)  3 Tb 3.34-3.51, 4 Dy 3.49-3.66, 1 Y 3.72
Dy (0.3945, 0.9565, 0.7353)  2 Tb 3.26-3.38, 3 Dy 3.37-3.58, 2 Y 3.55-3.64
Dy (0.4860, 0.5140, 0.2210)  4 Dy 3.24-3.59, 1 Y 3.33, 4 Tb 3.56-3.57
Dy (0.5140, 0.4860, 0.7210)  4 Dy 3.24-3.59, 1 Y 3.33, 4 Tb 3.56-3.57
Dy (0.6055, 0.0435, 0.2353)  2 Tb 3.26-3.38, 3 Dy 3.37-3.58, 2 Y 3.55-3.64
Dy (0.7574, 0.8791, 0.4752)  3 Tb 3.34-3.51, 4 Dy 3.49-3.66, 1 Y 3.72
Dy (0.8023, 0.1977, 0.6988)  1 Tb 3.14, 1 Y 3.30, 2 Dy 3.43
Dy (0.8791, 0.7574, 0.9752)  3 Tb 3.34-3.51, 4 Dy 3.49-3.66, 1 Y 3.72
Dy (0.9565, 0.3945, 0.2353)  2 Tb 3.26-3.38, 3 Dy 3.37-3.58, 2 Y 3.55-3.64
Y (0.3395, 0.6605, 0.4204)  6 Dy 3.30-3.64, 2 Tb 3.50
Y (0.6605, 0.3395, 0.9204)  6 Dy 3.30-3.64, 2 Tb 3.50



[9]
The following is a PBE calculation of a relaxed Tb2CdSi crystal, from Alexandria via LeMat-Bulk.

Properties
E_form (uncorrected)	-0.359	eV/atom

abc: 4.3323 4.3323 20.5697
angles: 90.00 90.00 120.00
With the nearest neighbours (Å) after each atom.
Fractional positions:
Tb (0.0000, 0.0000, 0.2347)  3 Si 2.87
Tb (0.0000, 0.0000, 0.7653)  3 Si 2.87
Tb (0.3333, 0.6667, 0.4319)  3 Si 2.87
Tb (0.3333, 0.6667, 0.9014)  3 Si 2.87
Tb (0.6667, 0.3333, 0.0986)  3 Si 2.87
Tb (0.6667, 0.3333, 0.5681)  3 Si 2.87
Cd (0.0000, 0.0000, 0.0000)  6 Tb 3.22
Cd (0.3333, 0.6667, 0.6667)  6 Tb 3.22
Cd (0.6667, 0.3333, 0.3333)  6 Tb 3.22
Si (0.0000, 0.0000, 0.5000)  6 Tb 2.87
Si (0.3333, 0.6667, 0.1667)  6 Tb 2.87
Si (0.6667, 0.3333, 0.8333)  6 Tb 2.87



[10]
The following is a PBE calculation of a relaxed NbGe2N crystal, from Alexandria via LeMat-Bulk.

Properties
E_form (uncorrected)	0.409	eV/atom

abc: 6.0429 6.0429 6.7876
angles: 90.00 90.00 90.00
With the nearest neighbours (Å) after each atom.
Fractional positions:
Nb (0.0000, 0.0000, 0.0000)  4 Ge 2.67
Nb (0.0000, 0.5000, 0.2500)  4 Ge 2.67
Nb (0.5000, 0.0000, 0.7500)  4 Ge 2.67
Nb (0.5000, 0.5000, 0.5000)  4 Ge 2.67
Ge (0.1636, 0.7500, 0.6250)  2 N 2.00
Ge (0.2500, 0.1636, 0.3750)  2 N 2.00
Ge (0.2500, 0.3364, 0.8750)  2 N 2.00
Ge (0.3364, 0.7500, 0.1250)  2 N 2.00
Ge (0.6636, 0.2500, 0.1250)  2 N 2.00
Ge (0.7500, 0.6636, 0.8750)  2 N 2.00
Ge (0.7500, 0.8364, 0.3750)  2 N 2.00
Ge (0.8364, 0.2500, 0.6250)  2 N 2.00
N (0.0000, 0.0000, 0.5000)  4 Ge 2.00
N (0.0000, 0.5000, 0.7500)  4 Ge 2.00
N (0.5000, 0.0000, 0.2500)  4 Ge 2.00
N (0.5000, 0.5000, 0.0000)  4 Ge 2.00



DFT total energy
In order: -2.5894 -4.7459 -9.1567 -5.0762 -2.7019 -9.1934 -5.3339 -4.6748 -4.2585 -6.4983
Unit: eV per atom